Entry 1:
## La2UNi3Pt12 (PBE)

Data for a relaxed La2UNi3Pt12 crystal.

POSCAR file:
```
La2UNi3Pt12
1.0
-0.4088 0.4333 8.1605
4.9054 -4.4878 4.7691
5.9842 3.4281 4.4029
Ni La Pt U
3 2 12 1
Direct
0.5000 0.0000 0.0000
0.0000 0.0000 0.5000
0.0000 0.5000 0.0000
0.3860 0.3860 0.3860
0.6140 0.6140 0.6140
0.1296 0.6048 0.1296
0.1296 0.1296 0.6048
0.1298 0.6297 0.6297
0.8704 0.8704 0.3952
0.3703 0.3703 0.8702
0.3703 0.8702 0.3703
0.6297 0.1298 0.6297
0.6297 0.6297 0.1298
0.6048 0.1296 0.1296
0.8702 0.3703 0.3703
0.8704 0.3952 0.8704
0.3952 0.8704 0.8704
0.0000 0.0000 0.0000
```

- electronic total energy (eV per atom) = -6.35
- magnetic moment (μB per cell) = 1.105

***

Entry 2:
## Hf3CN (PBE)

Data for a relaxed Hf3CN crystal.

POSCAR file:
```
Hf3CN
1.0
3.3687 0.0000 0.0000
0.0000 5.4291 -0.5307
0.0000 -3.2245 8.8920
Hf C N
6 2 2
Direct
0.7500 0.8228 0.0705
0.7500 0.8740 0.6006
0.2500 0.1260 0.3994
0.2500 0.1772 0.9295
0.2500 0.5541 0.7560
0.7500 0.4459 0.2440
0.2500 0.1440 0.1667
0.7500 0.8560 0.8333
0.2500 0.1302 0.6437
0.7500 0.8698 0.3563
```

- raw formation energy (eV/atom) = -0.960
- electronic total energy (eV per atom) = -10.44
- polymorph energy (0 for the lowest one) (meV/atom) = 0.0
- magnetic moment (μB per cell) = 0.000

***

Entry 3:
## KNb2VRe (PBE)

Data for a relaxed KNb2VRe crystal.

POSCAR file:
```
KNb2VRe
1.0
-3.4970 -3.2381 0.9595
0.8690 -2.1278 -4.0138
3.2514 -2.8544 2.2171
V K Nb Re
1 1 2 1
Direct
0.0000 0.0000 0.0000
0.5000 0.5000 0.5000
0.0000 0.0000 0.5000
0.5000 0.0000 0.0000
0.0000 0.5000 0.0000
```

- electronic total energy (eV per atom) = -7.11
- magnetic moment (μB per cell) = 0.001

***

Entry 4:
## Ca2ScBRu (PBE)

Data for a relaxed Ca2ScBRu crystal.

POSCAR file:
```
Ca2ScBRu
1.0
-0.6939 -4.7861 -2.7466
3.9839 -0.5100 -0.1177
-0.2084 -2.7435 4.8334
Sc B Ru Ca
1 1 1 2
Direct
0.5000 0.5000 0.5000
0.0000 0.5000 0.0000
0.0000 0.0000 0.0000
0.5000 0.0000 0.0000
0.0000 0.0000 0.5000
```

- electronic total energy (eV per atom) = -4.69
- polymorph energy (0 for the lowest one) (meV/atom) = 0.0
- magnetic moment (μB per cell) = 0.000

***

Entry 5:
## CsPtNO2 (PBE)

Data for a relaxed CsPtNO2 crystal.

POSCAR file:
```
CsPtNO2
1.0
4.4122 0.0000 0.0000
0.0000 4.4122 0.0000
0.0000 0.0000 3.7888
N Cs O Pt
1 1 2 1
Direct
0.0000 0.0000 0.5000
0.5000 0.5000 0.5000
0.0000 0.5000 0.0000
0.5000 0.0000 0.0000
0.0000 0.0000 0.0000
```

- raw formation energy (eV/atom) = 0.187
- electronic total energy (eV per atom) = -4.84
- magnetic moment (μB per cell) = 0.286

***

Entry 6:
## TbBiH (PBE)

Data for a relaxed TbBiH crystal.

POSCAR file:
```
TbBiH
1.0
3.9813 0.0455 0.1063
1.8991 5.9802 0.2953
1.8191 2.0083 5.6177
Bi Tb H
2 2 2
Direct
0.5222 0.7243 0.2285
0.4778 0.2757 0.7715
0.7948 0.1654 0.2466
0.2052 0.8346 0.7534
0.7803 0.8506 0.5875
0.2197 0.1494 0.4125
```

- electronic total energy (eV per atom) = -4.58
- polymorph energy (0 for the lowest one) (meV/atom) = 7.2
- magnetic moment (μB per cell) = 0.000

***

Entry 7:
## LaTi2As2 (PBE)

Data for a relaxed LaTi2As2 crystal.

POSCAR file:
```
LaTi2As2
1.0
-2.1071 -5.9551 4.3707
0.3718 -4.6247 -6.1221
3.2329 -0.6432 0.6822
As Ti La
4 4 2
Direct
0.6384 0.1384 0.0000
0.3616 0.8616 0.0000
0.8616 0.6384 0.0000
0.1384 0.3616 0.0000
0.8617 0.3617 0.5000
0.6383 0.8617 0.5000
0.3617 0.1383 0.5000
0.1383 0.6383 0.5000
0.0000 0.0000 0.0000
0.5000 0.5000 0.0000
```

- electronic total energy (eV per atom) = -6.69
- polymorph energy (0 for the lowest one) (meV/atom) = 334.5
- magnetic moment (μB per cell) = 0.000

***

Entry 8:
## Cs2Te3Au (PBE)

Data for a relaxed Cs2Te3Au crystal.

POSCAR file:
```
Cs2Te3Au
1.0
5.7870 0.0000 0.0000
0.0000 4.7979 0.0000
0.0000 0.0000 9.2467
Cs Te Au
2 3 1
Direct
0.0000 0.5000 0.9930
0.0000 0.0000 0.5047
0.5000 0.0000 0.1864
0.5000 0.0000 0.8648
0.5000 0.5000 0.6200
0.5000 0.5000 0.3311
```

- raw formation energy (eV/atom) = -0.615
- electronic total energy (eV per atom) = -3.02
- polymorph energy (0 for the lowest one) (meV/atom) = 0.0
- magnetic moment (μB per cell) = 0.000

***

Entry 9:
## Ca2LaSi (PBE)

Data for a relaxed Ca2LaSi crystal.

POSCAR file:
```
Ca2LaSi
1.0
-0.2297 -9.3904 -6.1000
2.0045 -7.3388 -8.2198
3.3924 -9.2314 -5.3586
Ca Si La
2 1 1
Direct
0.4798 0.4798 0.4798
0.0202 0.0202 0.0202
0.7500 0.7500 0.7500
0.2500 0.2500 0.2500
```

- raw formation energy (eV/atom) = 0.010
- electronic total energy (eV per atom) = -3.58
- magnetic moment (μB per cell) = 0.251

***

Entry 10:
## Hg6S5Br2 (PBE)

Data for a relaxed Hg6S5Br2 crystal.

POSCAR file:
```
Hg6S5Br2
1.0
9.9867 1.9489 -2.4929
5.6284 8.4766 -2.4929
-7.5382 -5.0329 13.3137
S Hg Br
10 12 4
Direct
0.8059 0.7534 0.6072
0.4464 0.5536 0.2500
0.2818 0.7482 0.0222
0.2518 0.7182 0.4778
0.5536 0.4464 0.7500
0.7182 0.2518 0.9778
0.2466 0.1941 0.8928
0.1941 0.2466 0.3928
0.7482 0.2818 0.5222
0.7534 0.8059 0.1072
0.9719 0.2600 0.1853
0.3778 0.8806 0.3149
0.4150 0.3646 0.4738
0.1194 0.6222 0.1851
0.7400 0.0281 0.3147
0.3646 0.4150 0.9738
0.5850 0.6354 0.5262
0.0281 0.7400 0.8147
0.8806 0.3778 0.8149
0.2600 0.9719 0.6853
0.6222 0.1194 0.6851
0.6354 0.5850 0.0262
0.7529 0.7473 0.8347
0.2527 0.2471 0.6653
0.2471 0.2527 0.1653
0.7473 0.7529 0.3347
```

- raw formation energy (eV/atom) = -0.194
- electronic total energy (eV per atom) = -2.18
- magnetic moment (μB per cell) = 0.000

***

Entry 11:
## Zr2TlSe (PBE)

Data for a relaxed Zr2TlSe crystal.

POSCAR file:
```
Zr2TlSe
1.0
-4.6986 -1.6440 1.0720
1.9695 -4.0199 2.4268
0.0408 1.7249 2.8241
Tl Zr Se
1 2 1
Direct
0.0000 0.5000 0.5000
0.5000 0.5000 0.0000
0.0000 0.0000 0.0000
0.5000 0.0000 0.5000
```

- raw formation energy (eV/atom) = -0.367
- electronic total energy (eV per atom) = -6.10
- polymorph energy (0 for the lowest one) (meV/atom) = 214.2
- magnetic moment (μB per cell) = 0.000

***

Entry 12:
## MgAlBr2 (PBE)

Data for a relaxed MgAlBr2 crystal.

POSCAR file:
```
MgAlBr2
1.0
3.7626 0.0000 0.0000
0.0000 5.6891 0.4110
0.0000 1.0437 5.6160
Al Br Mg
1 2 1
Direct
0.5000 0.7500 0.7500
0.0000 0.4540 0.4540
0.0000 0.0460 0.0460
0.5000 0.2500 0.2500
```

- raw formation energy (eV/atom) = -0.402
- electronic total energy (eV per atom) = -2.57
- polymorph energy (0 for the lowest one) (meV/atom) = 236.0
- magnetic moment (μB per cell) = 0.976